Model 1:
Here is an optimized crystal structure of Be2MoBr2 from Alexandria. Energies are from GGA-PBE.

## Properties
Total moment = 0.11 μB/atom

a b c (Å): 4.9296 4.9296 4.8901
angles (deg): 59.73 59.73 90.00
Closest atoms and distances in Å follow each position.
Positions (direct):
Be 0.3504 0.3504 0.2991  1 Be 2.05
Be 0.6496 0.6496 0.7009  1 Be 2.05
Mo 0.0000 0.0000 0.0000  2 Be 2.40
Br 0.7500 0.2500 0.5000  4 Be 2.56
Br 0.2500 0.7500 0.5000  4 Be 2.56

=====

Model 2:
Here is an optimized crystal structure of Be2MoBr2 from Alexandria. Energies are from GGA-PBE.

## Properties
Total moment = 0.47 μB/atom

a b c (Å): 7.0864 7.0864 3.3971
angles (deg): 90.00 90.00 90.00
Closest atoms and distances in Å follow each position.
Positions (direct):
Be 0.3967 0.8967 0.0000  1 Be 2.07, 2 Br 2.23
Be 0.8967 0.6033 0.0000  1 Be 2.07, 2 Br 2.23
Be 0.6033 0.1033 0.0000  1 Be 2.07, 2 Br 2.23
Be 0.1033 0.3967 0.0000  1 Be 2.07, 2 Br 2.23
Mo 0.0000 0.0000 0.0000  4 Be 2.90, 8 Br 3.03
Mo 0.5000 0.5000 0.0000  4 Be 2.90, 8 Br 3.03
Br 0.2527 0.7528 0.5000  2 Be 2.23
Br 0.7528 0.7472 0.5000  2 Be 2.23
Br 0.7472 0.2472 0.5000  2 Be 2.23
Br 0.2472 0.2527 0.5000  2 Be 2.23

=====

Which is most stable? The ranking, best first, is model 2, model 1.

=====

Model 1:
Here is an optimized crystal structure of BeMoBr2N from Alexandria. Energies are from GGA-PBE.

## Properties
Total moment = 0.41 μB/atom

a b c (Å): 5.1663 3.2132 5.1663
angles (deg): 90.00 90.00 90.00
Closest atoms and distances in Å follow each position.
Positions (direct):
Be 0.0000 0.0000 0.0000  2 N 1.61
Mo 0.5000 0.5000 0.5000  8 Br 3.04, 2 Mo 3.21
Br 0.0000 0.0000 0.5000  2 Be 2.58
Br 0.5000 0.0000 0.0000  2 Be 2.58
N 0.0000 0.5000 0.0000  2 Be 1.61

=====

Model 2:
Here is an optimized crystal structure of BeMoBr2N from Alexandria. Energies are from GGA-PBE.

## Properties
Total moment = 0.56 μB/atom

a b c (Å): 5.6691 3.7578 5.6691
angles (deg): 90.00 90.00 90.00
Closest atoms and distances in Å follow each position.
Positions (direct):
Be 0.5000 0.5000 0.5000  8 Br 3.40, 2 Be 3.76
Mo 0.0000 0.5000 0.0000  2 N 1.88
Br 0.0000 0.0000 0.5000  2 N 2.83
Br 0.5000 0.0000 0.0000  2 N 2.83
N 0.0000 0.0000 0.0000  2 Mo 1.88

=====

Which is most stable? The ranking, best first, is model 1, model 2.

=====

Model 1:
Here is an optimized crystal structure of BeMoSeBr2 from Alexandria. Energies are from GGA-PBE.

## Properties
Total moment = 0.34 μB/atom

a b c (Å): 5.2892 5.2892 4.8653
angles (deg): 90.00 90.00 90.00
Closest atoms and distances in Å follow each position.
Positions (direct):
Be 0.5000 0.5000 0.5000  8 Br 3.59, 4 Se 3.74
Mo 0.0000 0.0000 0.0000  2 Se 2.43, 4 Br 2.64
Se 0.0000 0.0000 0.5000  2 Mo 2.43
Br 0.0000 0.5000 0.0000  2 Mo 2.64
Br 0.5000 0.0000 0.0000  2 Mo 2.64

=====

Model 2:
Here is an optimized crystal structure of BeMoSeBr2 from Alexandria. Energies are from GGA-PBE.

## Properties
Total moment = 0.80 μB/atom

a b c (Å): 4.5963 4.5963 5.1723
angles (deg): 90.00 90.00 90.00
Closest atoms and distances in Å follow each position.
Positions (direct):
Be 0.0000 0.0000 0.0000  4 Br 2.30
Mo 0.5000 0.5000 0.5000  4 Se 3.25, 8 Br 3.46
Se 0.0000 0.0000 0.5000  2 Be 2.59
Br 0.0000 0.5000 0.0000  2 Be 2.30
Br 0.5000 0.0000 0.0000  2 Be 2.30

=====

Which is most stable? The ranking, best first, is model 2, model 1.

=====

Model 1:
Here is an optimized crystal structure of BeBr2N from Alexandria. Energies are from GGA-PBE.

## Properties
Total moment = 0.75 μB/atom

a b c (Å): 4.6881 4.6881 4.6881
angles (deg): 60.00 60.00 60.00
Closest atoms and distances in Å follow each position.
Positions (direct):
Be 0.0000 0.0000 0.0000  8 Br 2.87
Br 0.2500 0.2500 0.2500  4 N 2.87, 4 Be 2.87
Br 0.7500 0.7500 0.7500  4 N 2.87, 4 Be 2.87
N 0.5000 0.5000 0.5000  8 Br 2.87

=====

Model 2:
Here is an optimized crystal structure of BeBr2N from Alexandria. Energies are from GGA-PBE.

## Properties
Total moment = 0.75 μB/atom

a b c (Å): 6.6682 6.6682 6.5508
angles (deg): 59.41 59.41 90.00
Closest atoms and distances in Å follow each position.
Positions (direct):
Be 0.5000 0.5000 0.0000  4 Br 2.22
Be 0.2500 0.7500 0.5000  4 Br 2.22
Br 0.5137 0.1250 0.2500  2 Be 2.22
Br 0.2363 0.6250 0.2500  2 Be 2.22
Br 0.3750 0.4863 0.7500  2 Be 2.22
Br 0.8750 0.7637 0.7500  2 Be 2.22
N 0.0000 0.0000 0.0000  4 Br 3.14
N 0.7500 0.2500 0.5000  4 Br 3.14

=====

Which is most stable? The ranking, best first, is model 2, model 1.

=====

Model 1:
Here is an optimized crystal structure of BeBr2N from Alexandria. Energies are from GGA-PBE.

## Properties
Total moment = 0.75 μB/atom

a b c (Å): 10.1892 10.1892 10.1892
angles (deg): 19.88 19.88 19.88
Closest atoms and distances in Å follow each position.
Positions (direct):
Be 0.5000 0.5000 0.5000  6 Br 2.45
Br 0.8790 0.8790 0.8790  3 Be 2.45
Br 0.1210 0.1210 0.1210  3 Be 2.45
N 0.0000 0.0000 0.0000  6 N 3.52, 2 Br 3.63

=====

Model 2:
Here is an optimized crystal structure of BeBr2N from Alexandria. Energies are from GGA-PBE.

## Properties
Total moment = 0.75 μB/atom

a b c (Å): 8.6153 8.6153 8.6153
angles (deg): 34.07 34.07 34.07
Closest atoms and distances in Å follow each position.
Positions (direct):
Be 0.0000 0.0000 0.0000  2 Br 1.95
Br 0.9199 0.9199 0.9199  1 Be 1.95
Br 0.0801 0.0801 0.0801  1 Be 1.95
N 0.5000 0.5000 0.5000  6 Br 3.60

=====

Which is most stable? The ranking, best first, is model 1, model 2.

=====

Model 1:
Here is an optimized crystal structure of Be2Br2N from Alexandria. Energies are from GGA-PBE.

## Properties
Total moment = 0.20 μB/atom

a b c (Å): 7.3694 7.3694 3.4312
angles (deg): 90.00 90.00 90.00
Closest atoms and distances in Å follow each position.
Positions (direct):
Be 0.0993 0.5993 0.5000  1 Be 2.07, 2 Br 2.21
Be 0.5993 0.9007 0.5000  1 Be 2.07, 2 Br 2.21
Be 0.9007 0.4007 0.5000  1 Be 2.07, 2 Br 2.21
Be 0.4007 0.0993 0.5000  1 Be 2.07, 2 Br 2.21
Br 0.2325 0.7325 0.0000  2 Be 2.21
Br 0.7325 0.7675 0.0000  2 Be 2.21
Br 0.7675 0.2675 0.0000  2 Be 2.21
Br 0.2675 0.2325 0.0000  2 Be 2.21
N 0.0000 0.0000 0.0000  4 Br 2.61
N 0.5000 0.5000 0.0000  4 Br 2.61

=====

Model 2:
Here is an optimized crystal structure of Be2Br2N from Alexandria. Energies are from GGA-PBE.

## Properties
Total moment = 0.25 μB/atom

a b c (Å): 4.1785 4.1785 5.8742
angles (deg): 69.17 69.17 90.00
Closest atoms and distances in Å follow each position.
Positions (direct):
Be 0.7500 0.2500 0.5000  4 Br 2.31
Be 0.2500 0.7500 0.5000  4 Br 2.31
Br 0.3465 0.3465 0.3070  4 Be 2.31
Br 0.6535 0.6535 0.6930  4 Be 2.31
N 0.0000 0.0000 0.0000  8 Be 3.29, 10 Br 3.34-3.52

=====

Which is most stable? The ranking, best first, is model 1, model 2.

=====

Model 1:
Here is an optimized crystal structure of BeSBrN2 from Alexandria. Energies are from GGA-PBE.

## Properties
Total moment = 0.10 μB/atom

a b c (Å): 3.6119 3.6119 7.4239
angles (deg): 90.00 90.00 90.00
Closest atoms and distances in Å follow each position.
Positions (direct):
Be 0.5000 0.5000 0.5000  4 S 2.55
S 0.0000 0.0000 0.5000  4 Be 2.55
Br 0.0000 0.0000 0.0000  4 N 1.81
N 0.0000 0.5000 0.0000  2 Br 1.81
N 0.5000 0.0000 0.0000  2 Br 1.81

=====

Model 2:
Here is an optimized crystal structure of BeSBrN2 from Alexandria. Energies are from GGA-PBE.

## Properties
Total moment = 0.31 μB/atom

a b c (Å): 3.4734 3.4734 7.4129
angles (deg): 90.00 90.00 90.00
Closest atoms and distances in Å follow each position.
Positions (direct):
Be 0.0000 0.0000 0.0000  4 N 1.74
S 0.0000 0.0000 0.5000  4 Br 2.46
Br 0.5000 0.5000 0.5000  4 S 2.46
N 0.0000 0.5000 0.0000  2 Be 1.74
N 0.5000 0.0000 0.0000  2 Be 1.74

=====

Which is most stable? The ranking, best first, is model 2, model 1.

=====

Model 1:
Here is an optimized crystal structure of BeTeBrN2 from Alexandria. Energies are from GGA-PBE.

## Properties
Total moment = 0.77 μB/atom

a b c (Å): 3.9364 3.9364 5.7617
angles (deg): 90.00 90.00 90.00
Closest atoms and distances in Å follow each position.
Positions (direct):
Be 0.0000 0.0000 0.0000  4 N 1.97
Te 0.0000 0.0000 0.5000  4 Br 2.78, 2 Be 2.88
Br 0.5000 0.5000 0.5000  4 Te 2.78
N 0.0000 0.5000 0.0000  2 Be 1.97
N 0.5000 0.0000 0.0000  2 Be 1.97

=====

Model 2:
Here is an optimized crystal structure of BeTeBrN2 from Alexandria. Energies are from GGA-PBE.

## Properties
Total moment = 0.11 μB/atom

a b c (Å): 3.7525 3.7525 8.3238
angles (deg): 90.00 90.00 90.00
Closest atoms and distances in Å follow each position.
Positions (direct):
Be 0.5000 0.5000 0.5000  4 Te 2.65
Te 0.0000 0.0000 0.5000  4 Be 2.65
Br 0.0000 0.0000 0.0000  4 N 1.88
N 0.0000 0.5000 0.0000  2 Br 1.88
N 0.5000 0.0000 0.0000  2 Br 1.88

=====

Which is most stable? The ranking, best first, is model 1, model 2.

=====

Model 1:
Here is an optimized crystal structure of BeTe2BrN from Alexandria. Energies are from GGA-PBE.

## Properties
Total moment = 0.00 μB/atom

a b c (Å): 5.7602 5.7602 3.6776
angles (deg): 90.00 90.00 90.00
Closest atoms and distances in Å follow each position.
Positions (direct):
Be 0.5000 0.5000 0.5000  8 Te 3.42, 2 Be 3.68
Te 0.0000 0.5000 0.0000  2 Br 2.88
Te 0.5000 0.0000 0.0000  2 Br 2.88
Br 0.0000 0.0000 0.0000  2 N 1.84
N 0.0000 0.0000 0.5000  2 Br 1.84

=====

Model 2:
Here is an optimized crystal structure of BeTe2BrN from Alexandria. Energies are from GGA-PBE.

## Properties
Total moment = 0.00 μB/atom

a b c (Å): 5.6665 5.6665 3.1620
angles (deg): 90.00 90.00 90.00
Closest atoms and distances in Å follow each position.
Positions (direct):
Be 0.0000 0.0000 0.0000  2 N 1.58
Te 0.0000 0.5000 0.0000  2 Be 2.83, 2 Te 3.16
Te 0.5000 0.0000 0.0000  2 Be 2.83, 2 Te 3.16
Br 0.5000 0.5000 0.5000  2 Br 3.16, 8 Te 3.24
N 0.0000 0.0000 0.5000  2 Be 1.58

=====

Which is most stable? The ranking, best first, is model 2, model 1.

=====

Model 1:
Here is an optimized crystal structure of NaBe3Br from Alexandria. Energies are from GGA-PBE.

## Properties
Total moment = 0.00 μB/atom

a b c (Å): 5.1127 5.1127 5.1127
angles (deg): 90.00 90.00 90.00
Closest atoms and distances in Å follow each position.
Positions (direct):
Na 0.0000 0.0000 0.0000  6 Be 2.56
Br 0.5000 0.5000 0.5000  12 Be 3.62
Be 0.0000 0.5000 0.0000  2 Na 2.56
Be 0.0000 0.0000 0.5000  2 Na 2.56
Be 0.5000 0.0000 0.0000  2 Na 2.56

=====

Model 2:
Here is an optimized crystal structure of NaBe3Br from Alexandria. Energies are from GGA-PBE.

## Properties
Total moment = 0.00 μB/atom

a b c (Å): 4.7055 4.7055 4.7055
angles (deg): 90.00 90.00 90.00
Closest atoms and distances in Å follow each position.
Positions (direct):
Na 0.5000 0.5000 0.5000  12 Be 3.33
Br 0.0000 0.0000 0.0000  6 Be 2.35
Be 0.0000 0.5000 0.0000  2 Br 2.35
Be 0.0000 0.0000 0.5000  2 Br 2.35
Be 0.5000 0.0000 0.0000  2 Br 2.35

=====

Which is most stable? The ranking, best first, is model 2, model 1.

=====

Model 1:
Here is an optimized crystal structure of NaBe2Br from Alexandria. Energies are from GGA-PBE.

## Properties
Total moment = 0.00 μB/atom

a b c (Å): 5.0255 5.0255 5.0255
angles (deg): 60.00 60.00 60.00
Closest atoms and distances in Å follow each position.
Positions (direct):
Na 0.0000 0.0000 0.0000  8 Be 3.08
Br 0.5000 0.5000 0.5000  8 Be 3.08
Be 0.2500 0.2500 0.2500  4 Br 3.08, 4 Na 3.08
Be 0.7500 0.7500 0.7500  4 Na 3.08, 4 Br 3.08

=====

Model 2:
Here is an optimized crystal structure of NaBe2Br from Alexandria. Energies are from GGA-PBE.

## Properties
Total moment = 0.00 μB/atom

a b c (Å): 7.9131 7.9131 6.1417
angles (deg): 49.89 49.89 90.00
Closest atoms and distances in Å follow each position.
Positions (direct):
Na 0.5000 0.5000 0.0000  2 Br 2.53
Na 0.2500 0.7500 0.5000  2 Br 2.53
Br 0.0000 0.0000 0.0000  2 Na 2.53, 4 Be 2.70
Br 0.7500 0.2500 0.5000  2 Na 2.53, 4 Be 2.70
Be 0.6577 0.1250 0.2500  2 Be 2.58, 2 Br 2.70
Be 0.0923 0.6250 0.2500  2 Be 2.58, 2 Br 2.70
Be 0.3750 0.3423 0.7500  2 Be 2.58, 2 Br 2.70
Be 0.8750 0.9077 0.7500  2 Be 2.58, 2 Br 2.70

=====

Which is most stable? The ranking, best first, is model 2, model 1.

=====

Model 1:
Here is an optimized crystal structure of NaBeSeBr2 from Alexandria. Energies are from GGA-PBE.

## Properties
Total moment = 0.00 μB/atom

a b c (Å): 5.1724 5.1724 4.4679
angles (deg): 90.00 90.00 90.00
Closest atoms and distances in Å follow each position.
Positions (direct):
Na 0.5000 0.5000 0.5000  8 Br 3.42, 4 Se 3.66
Se 0.0000 0.0000 0.5000  2 Be 2.23
Br 0.0000 0.5000 0.0000  2 Be 2.59
Br 0.5000 0.0000 0.0000  2 Be 2.59
Be 0.0000 0.0000 0.0000  2 Se 2.23

=====

Model 2:
Here is an optimized crystal structure of NaBeSeBr2 from Alexandria. Energies are from GGA-PBE.

## Properties
Total moment = 0.24 μB/atom

a b c (Å): 5.3288 5.3288 5.4436
angles (deg): 90.00 90.00 90.00
Closest atoms and distances in Å follow each position.
Positions (direct):
Na 0.0000 0.0000 0.0000  4 Br 2.66, 2 Se 2.72
Se 0.0000 0.0000 0.5000  2 Na 2.72
Br 0.0000 0.5000 0.0000  2 Na 2.66
Br 0.5000 0.0000 0.0000  2 Na 2.66
Be 0.5000 0.5000 0.5000  4 Se 3.77, 8 Br 3.81

=====

Which is most stable? The ranking, best first, is model 1, model 2.

=====

Model 1:
Here is an optimized crystal structure of Be2NbBr from Alexandria. Energies are from GGA-PBE.

## Properties
Total moment = 0.00 μB/atom

a b c (Å): 4.4144 4.4144 4.4144
angles (deg): 60.00 60.00 60.00
Closest atoms and distances in Å follow each position.
Positions (direct):
Be 0.2500 0.2500 0.2500  4 Nb 2.70, 4 Br 2.70
Be 0.7500 0.7500 0.7500  4 Nb 2.70, 4 Br 2.70
Nb 0.5000 0.5000 0.5000  8 Be 2.70
Br 0.0000 0.0000 0.0000  8 Be 2.70

=====

Model 2:
Here is an optimized crystal structure of Be2NbBr from Alexandria. Energies are from GGA-PBE.

## Properties
Total moment = 0.00 μB/atom

a b c (Å): 6.7319 6.7319 5.4467
angles (deg): 51.83 51.83 90.00
Closest atoms and distances in Å follow each position.
Positions (direct):
Be 0.6067 0.1250 0.2500  2 Br 2.39, 2 Nb 2.56, 2 Be 2.66
Be 0.1433 0.6250 0.2500  2 Br 2.39, 2 Nb 2.56, 2 Be 2.66
Be 0.3750 0.3933 0.7500  2 Br 2.39, 2 Nb 2.56, 2 Be 2.66
Be 0.8750 0.8567 0.7500  2 Br 2.39, 2 Nb 2.56, 2 Be 2.66
Nb 0.0000 0.0000 0.0000  4 Be 2.56, 2 Br 2.65
Nb 0.7500 0.2500 0.5000  4 Be 2.56, 2 Br 2.65
Br 0.5000 0.5000 0.0000  4 Be 2.39, 2 Nb 2.65
Br 0.2500 0.7500 0.5000  4 Be 2.39, 2 Nb 2.65

=====

Which is most stable? The ranking, best first, is model 2, model 1.